(1)
TlTe3Cl: relaxed, PBE.

Unit cell a=5.7809 b=5.7809 c=5.7809 alpha=90.00 beta=90.00 gamma=90.00
With the nearest neighbours (Å) after each atom.
Positions (direct):
Tl 0.0000 0.0000 0.0000  6 Te 2.89
Te 0.0000 0.5000 0.0000  2 Tl 2.89
Te 0.0000 0.0000 0.5000  2 Tl 2.89
Te 0.5000 0.0000 0.0000  2 Tl 2.89
Cl 0.5000 0.5000 0.5000  12 Te 4.09

Results
The energy above the most stable polymorph in this dataset is 0.286 eV/atom. As for the energy relative to the elements, uncorrected: 63.8 kJ/mol of atoms.

---

(2)
Ho3Sc2Pb3: relaxed, PBE.

Unit cell a=6.3460 b=8.8604 c=8.8604 alpha=120.00 beta=90.00 gamma=90.00
With the nearest neighbours (Å) after each atom.
Positions (direct):
Ho 0.7500 0.2372 0.0000  3 Pb 3.08-3.22
Ho 0.7500 0.7628 0.7628  3 Pb 3.08-3.22
Ho 0.7500 0.0000 0.2372  3 Pb 3.08-3.22
Ho 0.2500 0.7628 0.0000  3 Pb 3.08-3.22
Ho 0.2500 0.2372 0.2372  3 Pb 3.08-3.22
Ho 0.2500 0.0000 0.7628  3 Pb 3.08-3.22
Sc 0.0000 0.3333 0.6667  6 Pb 3.14, 2 Sc 3.17
Sc 0.5000 0.6667 0.3333  6 Pb 3.14, 2 Sc 3.17
Sc 0.0000 0.6667 0.3333  6 Pb 3.14, 2 Sc 3.17
Sc 0.5000 0.3333 0.6667  6 Pb 3.14, 2 Sc 3.17
Pb 0.7500 0.6003 0.0000  3 Ho 3.08-3.22, 4 Sc 3.14
Pb 0.7500 0.3997 0.3997  3 Ho 3.08-3.22, 4 Sc 3.14
Pb 0.7500 0.0000 0.6003  3 Ho 3.08-3.22, 4 Sc 3.14
Pb 0.2500 0.3997 0.0000  3 Ho 3.08-3.22, 4 Sc 3.14
Pb 0.2500 0.6003 0.6003  3 Ho 3.08-3.22, 4 Sc 3.14
Pb 0.2500 0.0000 0.3997  3 Ho 3.08-3.22, 4 Sc 3.14

Results
The formation energy is -0.525 eV/atom.

---

(3)
AcLa6Tm: relaxed, PBE.

Unit cell a=5.2763 b=5.2763 c=10.5660 alpha=90.00 beta=90.00 gamma=90.00
With the nearest neighbours (Å) after each atom.
Positions (direct):
Ac 0.0000 0.0000 0.0000  12 La 3.73-3.79
La 0.5000 0.5000 0.0000  4 Ac 3.73, 8 La 3.79
La 0.5000 0.5000 0.5000  8 La 3.68, 4 Tm 3.73
La 0.5000 0.0000 0.2575  8 La 3.68-3.79, 2 Tm 3.68, 2 Ac 3.79
La 0.5000 0.0000 0.7425  8 La 3.68-3.79, 2 Tm 3.68, 2 Ac 3.79
La 0.0000 0.5000 0.2575  8 La 3.68-3.79, 2 Tm 3.68, 2 Ac 3.79
La 0.0000 0.5000 0.7425  8 La 3.68-3.79, 2 Tm 3.68, 2 Ac 3.79
Tm 0.0000 0.0000 0.5000  12 La 3.68-3.73

Results
The formation energy is 0.019 eV/atom.

---

(4)
Hg2RhPbBr: relaxed, PBE.

Unit cell a=5.2848 b=5.2848 c=5.2551 alpha=90.00 beta=90.00 gamma=90.00
With the nearest neighbours (Å) after each atom.
Positions (direct):
Pb 0.0000 0.0000 0.5000  2 Rh 2.63
Rh 0.0000 0.0000 0.0000  2 Pb 2.63, 4 Hg 2.64
Hg 0.0000 0.5000 0.0000  2 Rh 2.64
Hg 0.5000 0.0000 0.0000  2 Rh 2.64
Br 0.5000 0.5000 0.5000  8 Hg 3.73, 4 Pb 3.74

Results
As for the energy relative to the elements, uncorrected: -11.4 kJ/mol of atoms.

---

Computed DOS at the Fermi energy, in the same sequence as the records: 1.800, 0.660, 1.885, 0.345 states/eV/atom.
Computed calculated volume, in the same sequence as the records: 193.19, 431.46, 294.15, 146.77 Å³/cell.